# Tl2ZnSbS4 PBE relaxed
# ΔE_f (raw) in meV/atom: -323.1
# Electronic total energy in eV/f.u.: -29.22
# Total moment in μB/f.u.: 0.000
# Crystal system: orthorhombic
data_Tl2ZnSbS4
_cell_length_a 7.835
_cell_length_b 9.481
_cell_length_c 6.290
_cell_angle_alpha 90.00
_cell_angle_beta 90.00
_cell_angle_gamma 90.00
_symmetry_space_group_name_H-M 'P m n 21'
_symmetry_Int_Tables_number 31
_symmetry_space_group_name_Hall 'P 2ac -2'
loop_
_atom_site_label
_atom_site_fract_x
_atom_site_fract_y
_atom_site_fract_z
_atom_site_occupancy
Tl1 0.236 0.148 0.000 1
Zn1 0.000 0.640 0.942 1
Sb1 0.000 0.384 0.453 1
S1 0.000 0.403 0.062 1
S2 0.000 0.640 0.563 1
S3 0.247 0.773 0.025 1